# Ca2MgTl2

Crystalline Ca2MgTl2 at its relaxed geometry (GGA-PBE, Alexandria via LeMat-Bulk).

## Properties
The value obtained for the relative energy among the computed polymorphs is 8 meV/atom. As for the total energy: -2.346 eV/atom. The value obtained for the magnetization is 0.00 Bohr magnetons per cell. The energy of formation from the pure elements is -279.5 meV per atom.

Unit cell a=4.8067 b=6.5157 c=9.6060 alpha=90.00 beta=90.00 gamma=90.00
Closest atoms and distances in Å follow each position.
Space group Immm (No. 71)
Asymmetric unit:
1 Ca 0.0000 0.0000 0.1963 x4  6 Tl 3.38-3.42, 4 Mg 3.76-3.78, 1 Ca 3.77
2 Mg 0.0000 0.5000 0.0000 x2  4 Tl 2.95
3 Tl 0.0000 0.2632 0.5000 x4  2 Mg 2.95, 1 Tl 3.09